No. 1
# Li4MnF7

A geometry-optimized Li4MnF7 structure (PBE with a Hubbard U, the Alexandria database).

As for the space group: No. 216. Its raw total energy is -5.099 eV/atom. For the offset from the most stable computed form, the calculation gives 0.0326 eV per atom.

Lattice parameters (Å, degrees): 5.9712 5.9712 5.9712 60.00 60.00 60.00
Closest atoms and distances in Å follow each position.
Fractional coordinates of all 12 atoms:
Mn1 0.0000 0.0000 0.0000  6 F 2.00
Li1 0.3736 0.8793 0.3736  4 F 1.81-1.90
Li2 0.3736 0.3736 0.3736  4 F 1.81-1.90
Li3 0.3736 0.3736 0.8793  4 F 1.81-1.90
Li4 0.8793 0.3736 0.3736  4 F 1.81-1.90
F1 0.2363 0.7637 0.2363  2 Li 1.90, 1 Mn 2.00
F2 0.7637 0.2363 0.7637  2 Li 1.90, 1 Mn 2.00
F3 0.2363 0.2363 0.7637  2 Li 1.90, 1 Mn 2.00
F4 0.7637 0.7637 0.2363  2 Li 1.90, 1 Mn 2.00
F5 0.2500 0.2500 0.2500  4 Li 1.81
F6 0.7637 0.2363 0.2363  2 Li 1.90, 1 Mn 2.00
F7 0.2363 0.7637 0.7637  2 Li 1.90, 1 Mn 2.00


No. 2
# Li2MnF6

A geometry-optimized Li2MnF6 structure (PBE with a Hubbard U, the Alexandria database).

As for the space group: No. 7. Its raw total energy is -5.046 eV/atom. For the offset from the most stable computed form, the calculation gives 0.0352 eV per atom.

Lattice parameters (Å, degrees): 5.2462 5.0900 9.0146 56.03 90.00 90.00
Closest atoms and distances in Å follow each position.
Fractional coordinates of all 18 atoms:
Mn1 0.7406 0.9952 0.0026  6 F 1.84-1.86
Mn2 0.2594 0.9952 0.5026  6 F 1.84-1.86
Li1 0.8124 0.2811 0.2209  5 F 2.01-2.24
Li2 0.2597 0.5029 0.9932  6 F 1.96-2.18
Li3 0.1876 0.2811 0.7209  5 F 2.01-2.24
Li4 0.7403 0.5029 0.4932  6 F 1.96-2.18
F1 0.5661 0.6339 0.0593  1 Mn 1.85, 2 Li 1.96-2.02
F2 0.0246 0.7419 0.0758  1 Mn 1.84
F3 0.8133 0.1253 0.7719  1 Mn 1.84
F4 0.0757 0.3362 0.4635  1 Mn 1.84, 1 Li 2.03
F5 0.1867 0.1253 0.2719  1 Mn 1.84
F6 0.6933 0.8939 0.2338  1 Mn 1.86, 2 Li 2.01-2.07
F7 0.4339 0.6339 0.5593  1 Mn 1.85, 2 Li 1.96-2.02
F8 0.9754 0.7419 0.5758  1 Mn 1.84
F9 0.9243 0.3362 0.9635  1 Mn 1.84, 1 Li 2.03
F10 0.5627 0.2222 0.4284  1 Mn 1.86, 1 Li 2.05
F11 0.3067 0.8939 0.7338  1 Mn 1.86, 2 Li 2.01-2.07
F12 0.4373 0.2222 0.9284  1 Mn 1.86, 1 Li 2.05


No. 3
# Li5Mn3F12

A geometry-optimized Li5Mn3F12 structure (PBE with a Hubbard U, the Alexandria database).

As for the space group: No. 230. Its raw total energy is -5.390 eV/atom.

Lattice parameters (Å, degrees): 10.3187 10.3187 10.3187 109.47 109.47 109.47
Closest atoms and distances in Å follow each position.
Fractional coordinates of all 80 atoms:
F1 0.8728 0.5943 0.9154  2 Li 1.84-2.02
F2 0.9575 0.5846 0.1790  2 Li 1.84-2.02
F3 0.2785 0.8728 0.9575  2 Li 1.84-2.02
F4 0.1790 0.0846 0.9575  2 Li 1.84-2.02
F5 0.8210 0.9057 0.2785  2 Li 1.84-2.02
F6 0.7215 0.5943 0.1790  2 Li 1.84-2.02
F7 0.6790 0.2215 0.5943  2 Li 1.84-2.02
F8 0.5425 0.2215 0.1272  2 Li 1.84-2.02
F9 0.9057 0.8210 0.7785  2 Li 1.84-2.02
F10 0.4575 0.6790 0.0846  2 Li 1.84-2.02
F11 0.7785 0.3210 0.9057  2 Li 1.84-2.02
F12 0.5846 0.6272 0.4057  2 Li 1.84-2.02
F13 0.0425 0.6272 0.7215  2 Li 1.84-2.02
F14 0.4057 0.2785 0.3210  2 Li 1.84-2.02
F15 0.6272 0.0425 0.2215  2 Li 1.84-2.02
F16 0.4154 0.3728 0.5943  2 Li 1.84-2.02
F17 0.0846 0.9057 0.1272  2 Li 1.84-2.02
F18 0.2785 0.4057 0.8210  2 Li 1.84-2.02
F19 0.7215 0.1272 0.0425  2 Li 1.84-2.02
F20 0.9057 0.0846 0.6272  2 Li 1.84-2.02
F21 0.9154 0.0943 0.8728  2 Li 1.84-2.02
F22 0.5846 0.9575 0.6790  2 Li 1.84-2.02
F23 0.1272 0.7215 0.5425  2 Li 1.84-2.02
F24 0.7785 0.4575 0.3728  2 Li 1.84-2.02
F25 0.0943 0.9154 0.3728  2 Li 1.84-2.02
F26 0.8728 0.2785 0.4575  2 Li 1.84-2.02
F27 0.2215 0.5425 0.6272  2 Li 1.84-2.02
F28 0.8210 0.9154 0.0425  2 Li 1.84-2.02
F29 0.3728 0.4154 0.0943  2 Li 1.84-2.02
F30 0.0943 0.1790 0.2215  2 Li 1.84-2.02
F31 0.5943 0.7215 0.6790  2 Li 1.84-2.02
F32 0.6272 0.5846 0.9057  2 Li 1.84-2.02
F33 0.6790 0.4575 0.5846  2 Li 1.84-2.02
F34 0.3210 0.7785 0.4057  2 Li 1.84-2.02
F35 0.3728 0.9575 0.7785  2 Li 1.84-2.02
F36 0.5943 0.8728 0.4154  2 Li 1.84-2.02
F37 0.2215 0.6790 0.0943  2 Li 1.84-2.02
F38 0.5425 0.3210 0.9154  2 Li 1.84-2.02
F39 0.0846 0.1790 0.4575  2 Li 1.84-2.02
F40 0.9154 0.8210 0.5425  2 Li 1.84-2.02
F41 0.4575 0.7785 0.8728  2 Li 1.84-2.02
F42 0.4154 0.0425 0.3210  2 Li 1.84-2.02
F43 0.4057 0.1272 0.5846  2 Li 1.84-2.02
F44 0.0425 0.4154 0.8210  2 Li 1.84-2.02
F45 0.3210 0.5425 0.4154  2 Li 1.84-2.02
F46 0.9575 0.3728 0.2785  2 Li 1.84-2.02
F47 0.1272 0.4057 0.0846  2 Li 1.84-2.02
F48 0.1790 0.0943 0.7215  2 Li 1.84-2.02
Li1 0.0000 0.5000 0.5000  6 F 2.02
Li2 0.6250 0.8750 0.2500  4 F 1.84
Li3 0.5000 0.5000 0.5000  6 F 2.02
Li4 0.8750 0.2500 0.6250  4 F 1.84
Li5 0.1250 0.3750 0.2500  4 F 1.84
Li6 0.6250 0.7500 0.8750  4 F 1.84
Li7 0.7500 0.6250 0.3750  4 F 1.84
Li8 0.1250 0.7500 0.3750  4 F 1.84
Li9 0.5000 0.0000 0.0000  6 F 2.02
Li10 0.8750 0.6250 0.7500  4 F 1.84
Li11 0.5000 0.5000 0.0000  6 F 2.02
Li12 0.7500 0.1250 0.8750  4 F 1.84
Li13 0.0000 0.0000 0.0000  6 F 2.02
Li14 0.2500 0.3750 0.6250  4 F 1.84
Li15 0.2500 0.8750 0.1250  4 F 1.84
Li16 0.3750 0.1250 0.7500  4 F 1.84
Li17 0.3750 0.2500 0.1250  4 F 1.84
Li18 0.0000 0.5000 0.0000  6 F 2.02
Li19 0.5000 0.0000 0.5000  6 F 2.02
Li20 0.0000 0.0000 0.5000  6 F 2.02
Mn1 0.6250 0.3750 0.7500  8 F 2.21-2.29
Mn2 0.8750 0.7500 0.1250  8 F 2.21-2.29
Mn3 0.2500 0.6250 0.8750  8 F 2.21-2.29
Mn4 0.1250 0.2500 0.8750  8 F 2.21-2.29
Mn5 0.7500 0.8750 0.6250  8 F 2.21-2.29
Mn6 0.1250 0.8750 0.7500  8 F 2.21-2.29
Mn7 0.7500 0.3750 0.1250  8 F 2.21-2.29
Mn8 0.3750 0.6250 0.2500  8 F 2.21-2.29
Mn9 0.3750 0.7500 0.6250  8 F 2.21-2.29
Mn10 0.8750 0.1250 0.2500  8 F 2.21-2.29
Mn11 0.2500 0.1250 0.3750  8 F 2.21-2.29
Mn12 0.6250 0.2500 0.3750  8 F 2.21-2.29


> raw total energy of number 1 (Li4MnF7)?

-5.099 eV/atom